Entry 1:
CsAg2SnBr8: relaxed, PBE-GGA.

```
12
Lattice="-4.079 -4.499 3.822 3.627 -4.423 -2.263 7.528 -2.120 6.247" Properties=species:S:1:pos:R:3 pbc="T T T"
Ag 1.582 -4.534 1.800
Ag 5.493 -6.508 6.005
Br 4.573 -6.614 3.500
Cs 3.764 -1.060 3.123
Sn 0.000 0.000 0.000
Br 8.602 -6.340 4.090
Br -1.526 -4.702 3.715
Br 2.503 -4.428 4.305
Br 3.851 -3.843 0.391
Br -0.297 -2.587 0.862
Br 3.224 -7.199 7.414
Br 7.372 -8.455 6.944
```

## Properties
DFT total energy (eV per atom): -2.63
Formation energy from raw total energies (eV/f.u.): -7.7
Size of the total moment (μB/f.u.): 0.0
D(E_F) (states/eV per cell): 5.6

---

Entry 2:
ZrAgHg: relaxed, PBE-GGA.

```
6
Lattice="3.154 0.000 -0.173 0.000 3.158 -0.005 0.685 0.019 12.495" Properties=species:S:1:pos:R:3 pbc="T T T"
Ag 3.321 0.935 10.219
Zr 1.411 2.505 4.243
Zr 2.866 0.923 1.939
Ag 1.642 2.511 8.457
Hg 1.853 2.517 12.298
Hg 3.110 0.929 6.378
```

## Properties
DFT total energy (eV per atom): -3.96
Size of the total moment (μB/f.u.): 0.0
DFT formation energy (meV per atom): -61
D(E_F) (states/eV per cell): 3.7

---

Entry 3:
Sm6Dy8Y: relaxed, PBE-GGA.

```
15
Lattice="-7.668 1.407 4.690 -7.696 -4.152 -2.512 -3.582 -6.260 4.847" Properties=species:S:1:pos:R:3 pbc="T T T"
Dy -9.119 -5.735 4.462
Sm -6.357 -2.711 0.341
Dy -12.776 -4.588 3.738
Dy -7.894 -2.096 5.148
Sm -13.554 -8.528 4.145
Dy -9.828 -3.270 2.562
Dy -11.053 -6.909 1.877
Dy -6.171 -4.417 3.287
Y 0.000 0.000 0.000
Sm -12.590 -6.294 6.683
Sm -5.393 -0.477 2.879
Sm -3.026 -1.603 0.535
Dy -10.840 -3.418 6.326
Sm -15.921 -7.403 6.489
Dy -8.107 -5.587 0.698
```

## Properties
Distance to the lowest polymorph of the same formula (eV per formula unit): 0.00
DFT total energy (eV per atom): -4.65
Size of the total moment (μB/f.u.): 0.0
DFT formation energy (meV per atom): 124
D(E_F) (states/eV per cell): 22.0

---

> Look up the size of the total moment of the second one.

0.0 μB/f.u.

---

What did the second record say?
ZrAgHg: relaxed, PBE-GGA.

```
6
Lattice="3.154 0.000 -0.173 0.000 3.158 -0.005 0.685 0.019 12.495" Properties=species:S:1:pos:R:3 pbc="T T T"
Ag 3.321 0.935 10.219
Zr 1.411 2.505 4.243
Zr 2.866 0.923 1.939
Ag 1.642 2.511 8.457
Hg 1.853 2.517 12.298
Hg 3.110 0.929 6.378
```

## Properties
DFT total energy (eV per atom): -3.96
Size of the total moment (μB/f.u.): 0.0
DFT formation energy (meV per atom): -61
D(E_F) (states/eV per cell): 3.7